Ti2Te2Cl | Alexandria | PBE | relaxed; DFT total energy = -54.35 eV/cell; DOS at the Fermi energy = 0.510 states/eV/atom
1.0
7.7646 0.0000 0.0000
0.0000 7.7646 0.0000
0.0000 0.0000 3.5991
Ti Te Cl
4 4 2
Direct
0.1304 0.3696 0.0000 Ti
0.3696 0.8696 0.0000 Ti
0.6304 0.1304 0.0000 Ti
0.8696 0.6304 0.0000 Ti
0.1503 0.6503 0.5000 Te
0.3497 0.1503 0.5000 Te
0.6503 0.8497 0.5000 Te
0.8497 0.3497 0.5000 Te
0.0000 0.0000 0.0000 Cl
0.5000 0.5000 0.0000 Cl

***

TiTeCl | Alexandria | PBE | relaxed; DFT total energy = -63.96 eV/cell; DOS at the Fermi energy = 0.597 states/eV/atom
1.0
6.2581 0.0000 0.0000
0.0000 3.6129 0.0000
-0.0264 0.0000 14.1014
Ti Te Cl
4 4 4
Direct
0.0000 0.0000 0.0000 Ti
0.1639 0.5000 0.4807 Ti
0.5000 0.5000 0.0000 Ti
0.6639 0.0000 0.4807 Ti
0.1662 0.5000 0.8736 Te
0.3312 0.0000 0.6072 Te
0.6662 0.0000 0.8736 Te
0.8312 0.5000 0.6072 Te
0.3338 0.0000 0.1047 Cl
0.4969 0.5000 0.3761 Cl
0.8338 0.5000 0.1047 Cl
0.9969 0.0000 0.3761 Cl

***

TiTe2Cl | Alexandria | PBE | relaxed; DFT total energy = -67.37 eV/cell; DOS at the Fermi energy = 0.960 states/eV/atom; energy above the lowest structure with this stoichiometry = 0.337 eV per atom
1.0
6.8769 0.0000 0.0000
0.0000 6.8769 0.0000
0.0000 0.0000 12.1847
Ti Te Cl
4 8 4
Direct
0.0000 0.0000 0.0000 Ti
0.0000 0.5000 0.2500 Ti
0.5000 0.0000 0.7500 Ti
0.5000 0.5000 0.5000 Ti
0.1810 0.2500 0.1250 Te
0.2500 0.6810 0.3750 Te
0.2500 0.8190 0.8750 Te
0.3190 0.2500 0.6250 Te
0.6810 0.7500 0.6250 Te
0.7500 0.1810 0.8750 Te
0.7500 0.3190 0.3750 Te
0.8190 0.7500 0.1250 Te
0.0000 0.0000 0.5000 Cl
0.0000 0.5000 0.7500 Cl
0.5000 0.0000 0.2500 Cl
0.5000 0.5000 0.0000 Cl

***

TiTlTeCl2 | Alexandria | PBE | relaxed; DFT total energy = -21.81 eV/cell; DOS at the Fermi energy = 0.547 states/eV/atom
1.0
4.9359 0.0000 0.0000
0.0000 4.9359 0.0000
0.0000 0.0000 5.5894
Ti Tl Te Cl
1 1 1 2
Direct
0.0000 0.0000 0.0000 Ti
0.5000 0.5000 0.5000 Tl
0.0000 0.0000 0.5000 Te
0.0000 0.5000 0.0000 Cl
0.5000 0.0000 0.0000 Cl

***

ZrTiTeCl2 | Alexandria | PBE | relaxed; DFT total energy = -19.16 eV/cell; DOS at the Fermi energy = 1.095 states/eV/atom
1.0
5.5616 0.0000 0.0000
0.0000 5.5616 0.0000
0.0000 0.0000 5.2290
Zr Ti Te Cl
1 1 1 2
Direct
0.0000 0.0000 0.0000 Zr
0.5000 0.5000 0.0000 Ti
0.5000 0.5000 0.5000 Te
0.0000 0.5000 0.5000 Cl
0.5000 0.0000 0.5000 Cl

***

TlTe2Cl6 | Alexandria | PBE | relaxed; DFT total energy = -50.03 eV/cell; DOS at the Fermi energy = 0.091 states/eV/atom
1.0
8.1944 -7.8548 0.0000
8.1944 7.8548 0.0000
-1.4454 0.0000 5.4639
Tl Te Cl
2 4 12
Direct
0.1097 0.8903 0.7500 Tl
0.8903 0.1097 0.2500 Tl
0.0829 0.4105 0.7788 Te
0.4105 0.0829 0.2788 Te
0.5895 0.9171 0.7212 Te
0.9171 0.5895 0.2212 Te
0.0235 0.2083 0.8475 Cl
0.1250 0.6093 0.6254 Cl
0.2083 0.0235 0.3475 Cl
0.2568 0.4298 0.0879 Cl
0.3907 0.8750 0.8746 Cl
0.4298 0.2568 0.5879 Cl
0.5702 0.7432 0.4121 Cl
0.6093 0.1250 0.1254 Cl
0.7432 0.5702 0.9121 Cl
0.7917 0.9765 0.6525 Cl
0.8750 0.3907 0.3746 Cl
0.9765 0.7917 0.1525 Cl

***

Tl2TeCl | Alexandria | PBE | relaxed; DFT total energy = -47.46 eV/cell; DOS at the Fermi energy = 0.364 states/eV/atom; energy above the lowest structure with this stoichiometry = 0.018 eV per atom
1.0
6.1130 0.0000 0.0000
0.0000 6.7905 0.0000
0.0000 0.0000 13.5486
Tl Te Cl
8 4 4
Direct
0.0000 0.2359 0.1262 Tl
0.0000 0.2362 0.6281 Tl
0.0000 0.7638 0.3719 Tl
0.0000 0.7641 0.8738 Tl
0.5000 0.2359 0.3738 Tl
0.5000 0.2362 0.8719 Tl
0.5000 0.7638 0.1281 Tl
0.5000 0.7641 0.6262 Tl
0.0000 0.2658 0.8765 Te
0.0000 0.7342 0.1235 Te
0.5000 0.2658 0.6235 Te
0.5000 0.7342 0.3765 Te
0.0000 0.2045 0.3820 Cl
0.0000 0.7955 0.6180 Cl
0.5000 0.2045 0.1180 Cl
0.5000 0.7955 0.8820 Cl

***

Tl2TeCl | Alexandria | PBE | relaxed; DFT total energy = -46.51 eV/cell; DOS at the Fermi energy = 0.960 states/eV/atom; energy above the lowest structure with this stoichiometry = 0.078 eV per atom
1.0
7.8258 0.0000 0.0000
0.0000 7.8258 0.0000
0.0000 0.0000 7.8258
Tl Te Cl
8 4 4
Direct
0.2500 0.2500 0.2500 Tl
0.2500 0.2500 0.7500 Tl
0.2500 0.7500 0.2500 Tl
0.2500 0.7500 0.7500 Tl
0.7500 0.2500 0.2500 Tl
0.7500 0.2500 0.7500 Tl
0.7500 0.7500 0.2500 Tl
0.7500 0.7500 0.7500 Tl
0.0000 0.0000 0.0000 Te
0.0000 0.5000 0.5000 Te
0.5000 0.0000 0.5000 Te
0.5000 0.5000 0.0000 Te
0.0000 0.0000 0.5000 Cl
0.0000 0.5000 0.0000 Cl
0.5000 0.0000 0.0000 Cl
0.5000 0.5000 0.5000 Cl

***

no.,formation energy from raw total energies (eV/atom)
1,-0.651
2,-1.036
3,-0.205
4,-0.942
5,0.823
6,-0.587
7,-0.536
8,-0.477